# 1
{
  "formula": "La2MgBSe",
  "functional": "PBE",
  "state": "optimized geometry",
  "cell": [[5.764, 0.000, 0.000], [0.000, 4.654, 0.000], [0.000, 0.000, 5.764]],
  "species": ["La", "La", "Se", "Mg", "B"],
  "frac_coords": [[0.000, 0.000, 0.500], [0.500, 0.000, 0.000], [0.000, 0.500, 0.000], [0.000, 0.000, 0.000], [0.500, 0.500, 0.500]],
  "formation_energy_uncorrected_mev_per_atom": 879,
  "m_tot_mub_per_cell": 1.7,
  "spacegroup": "P4/mmm (123)",
  "energy_ev_per_cell": -17.21
}

# 2
{
  "formula": "La2MgTlB",
  "functional": "PBE",
  "state": "optimized geometry",
  "cell": [[-0.697, -0.992, -6.157], [-0.942, -3.926, 0.739], [-6.067, 1.539, 0.439]],
  "species": ["La", "La", "B", "Mg", "Tl"],
  "frac_coords": [[0.000, 0.000, 0.500], [0.500, 0.000, 0.000], [0.000, 0.500, 0.000], [0.500, 0.500, 0.500], [0.000, 0.000, 0.000]],
  "m_tot_mub_per_cell": 1.1,
  "spacegroup": "P4/mmm (123)",
  "formation_energy_mev_per_atom": 714,
  "energy_ev_per_cell": -16.92
}

# 3
{
  "formula": "LaMnB",
  "functional": "PBE",
  "state": "optimized geometry",
  "cell": [[-1.800, -3.151, 7.618], [-0.907, -4.246, -1.971], [6.217, -1.178, -0.322]],
  "species": ["Mn", "Mn", "Mn", "Mn", "La", "La", "La", "La", "B", "B", "B", "B"],
  "frac_coords": [[0.403, 0.500, 0.903], [0.440, 0.000, 0.818], [0.440, 0.500, 0.318], [0.403, 0.000, 0.403], [0.129, 0.000, 0.740], [0.129, 0.500, 0.240], [0.689, 0.000, 0.154], [0.689, 0.500, 0.654], [0.382, 0.324, 0.601], [0.382, 0.676, 0.601], [0.382, 0.824, 0.101], [0.382, 0.176, 0.101]],
  "m_tot_mub_per_cell": 0.0,
  "spacegroup": "Cm (8)",
  "formation_energy_mev_per_atom": -191,
  "energy_ev_per_cell": -85.39
}